A relaxed Sm2ScS4 crystal, computed with PBE-GGA.

Values from the calculation:
- E_form (uncorrected) (eV/atom) = -1.81
- ΔE to the lowest computed polymorph (kJ/mol of atoms) = 18.0

Unit cell a=6.9652 b=6.8403 c=7.6195 alpha=90.00 beta=105.96 gamma=90.00
With the nearest neighbours (Å) after each atom.
Fractional positions:
Sm 0.1846 0.2500 0.0484  6 S 2.82-2.87
Sm 0.1998 0.2500 0.5465  6 S 2.75-2.88
Sm 0.8002 0.7500 0.4535  6 S 2.75-2.88
Sm 0.8154 0.7500 0.9516  6 S 2.82-2.87
Sc 0.2920 0.7500 0.8222  4 S 2.36-2.54
Sc 0.7080 0.2500 0.1778  4 S 2.36-2.54
S 0.0096 0.5022 0.7495  1 Sc 2.54
S 0.0096 0.9978 0.7495  1 Sc 2.54
S 0.4946 0.2500 0.8735  1 Sc 2.39
S 0.4985 0.2500 0.3745  1 Sc 2.36
S 0.5015 0.7500 0.6255  1 Sc 2.36
S 0.5054 0.7500 0.1265  1 Sc 2.39
S 0.9904 0.0022 0.2505  1 Sc 2.54
S 0.9904 0.4978 0.2505  1 Sc 2.54